Computed, not measured: a relaxed TeW2C crystal at the GGA-PBE level of DFT.

Output
- energy above the most stable polymorph in this dataset (kJ/mol of formula units) = 252.8
- size of the total moment (μB per formula unit) = 0.000
- N(E_F) (states/eV/f.u.) = 2.950

Cell: 4.386 4.386 4.386 Å, 60.00 60.00 60.00°
Positions (direct):
C1 0.000 0.000 0.000
Te1 0.500 0.500 0.500
W1 0.250 0.250 0.250
W2 0.750 0.750 0.750